7
Lattice="2.287 1.321 7.204 -2.287 1.321 7.204 0.000 -2.641 7.204" Properties=species:S:1:pos:R:3 comment="Si3Ag2Ge2, optimized geometry, DFT PBE" dft_energy_ev_per_atom=-3.9965 pbc="T T T"
Si 0.000 0.000 0.000
Si 0.000 0.000 5.337
Si 0.000 0.000 16.132
Ag 0.000 0.000 8.238
Ag 0.000 0.000 18.763
Ge 0.000 0.000 2.714
Ge 0.000 0.000 13.338

***

12
Lattice="1.933 -6.319 0.000 1.933 6.319 0.000 0.000 0.000 10.376" Properties=species:S:1:pos:R:3 comment="InCuPbS3, optimized geometry, DFT PBE" polymorph_energy_ev_per_atom=0.0000 dft_energy_ev_per_atom=-4.1539 pbc="T T T"
In 0.000 0.000 0.000
In 0.000 0.000 5.188
Cu 1.933 0.564 7.782
Cu 1.933 -0.564 2.594
Pb 1.933 3.105 2.594
Pb 1.933 -3.105 7.782
S 1.933 5.388 7.782
S 1.933 1.700 5.778
S 1.933 1.700 9.787
S 1.933 -1.700 0.590
S 1.933 -1.700 4.598
S 1.933 -5.388 2.594

***

6
Lattice="4.411 0.000 0.000 -2.205 3.820 0.000 0.000 0.000 10.842" Properties=species:S:1:pos:R:3 comment="Sm2AgTe3, optimized geometry, DFT PBE" polymorph_energy_ev_per_atom=0.0305 dft_energy_ev_per_atom=-4.6519 m_tot_mub_per_fu=0.00 pbc="T T T"
Sm 0.000 2.547 1.864
Sm 2.205 1.273 8.979
Ag 0.000 0.000 5.421
Te 0.000 0.000 0.000
Te 0.000 2.547 7.141
Te 2.205 1.273 3.702

***

4
Lattice="3.300 0.000 0.000 -1.650 2.858 0.000 0.000 0.000 11.715" Properties=species:S:1:pos:R:3 comment="YPa, optimized geometry, DFT PBE" ef_ev_per_atom=0.217 polymorph_energy_ev_per_atom=0.0086 dft_energy_ev_per_atom=-7.7632 m_tot_mub_per_fu=0.00 pbc="T T T"
Y 0.000 0.000 0.000
Y 0.000 0.000 5.858
Pa 0.000 1.905 2.929
Pa 1.650 0.953 8.787

***

4
Lattice="0.000 3.292 3.292 3.292 0.000 3.292 3.292 3.292 0.000" Properties=species:S:1:pos:R:3 comment="TlFeReHg, optimized geometry, DFT PBE" polymorph_energy_ev_per_atom=0.0000 dft_energy_ev_per_atom=-4.8048 m_tot_mub_per_fu=3.40 pbc="T T T"
Tl 0.000 0.000 0.000
Fe 1.646 1.646 1.646
Re 4.938 4.938 4.938
Hg 3.292 3.292 3.292

***

3
Lattice="0.000 3.240 3.240 3.240 0.000 3.240 3.240 3.240 0.000" Properties=species:S:1:pos:R:3 comment="KHfOs, optimized geometry, DFT PBE" polymorph_energy_ev_per_atom=1.2997 dft_energy_ev_per_atom=-4.9646 m_tot_mub_per_fu=0.00 pbc="T T T"
K 0.000 0.000 0.000
Hf 4.860 4.860 4.860
Os 1.620 1.620 1.620

***

8
Lattice="3.266 0.000 0.000 -1.633 2.828 0.000 0.000 0.000 13.817" Properties=species:S:1:pos:R:3 comment="BMo2Pb, optimized geometry, DFT PBE" dft_energy_ev_per_atom=-7.9457 m_tot_mub_per_fu=0.01 pbc="T T T"
B 0.000 0.000 0.000
B 0.000 0.000 6.909
Mo 0.000 1.886 1.119
Mo 0.000 1.886 5.789
Mo 1.633 0.943 8.028
Mo 1.633 0.943 12.698
Pb 0.000 1.886 10.363
Pb 1.633 0.943 3.454

***

11
Lattice="-1.909 7.666 4.723 1.909 -7.666 4.723 1.909 7.666 -4.723" Properties=species:S:1:pos:R:3 comment="ErTm4Lu2Ni2Te2, optimized geometry, DFT PBE" polymorph_energy_ev_per_atom=0.0056 dft_energy_ev_per_atom=-5.1272 m_tot_mub_per_fu=0.01 pbc="T T T"
Er 0.000 0.000 0.000
Tm 1.909 2.843 -1.170
Tm 1.909 -2.247 2.161
Tm 1.909 2.247 2.161
Tm 0.000 4.823 3.553
Lu 1.909 5.599 0.773
Lu 0.000 2.067 5.496
Ni 0.000 3.625 0.650
Ni 0.000 11.707 0.650
Te 0.000 0.000 3.201
Te 0.000 7.666 2.197

***

10
Lattice="2.662 1.537 4.758 -2.662 1.537 4.758 0.000 -3.074 4.758" Properties=species:S:1:pos:R:3 comment="TmGaO3, optimized geometry, DFT PBE" dft_energy_ev_per_atom=-7.1371 m_tot_mub_per_fu=0.00 pbc="T T T"
Tm 0.000 0.000 1.952
Tm 0.000 0.000 12.323
Ga 0.000 0.000 5.005
Ga 0.000 0.000 9.270
O -1.078 -1.401 5.883
O -1.752 0.233 8.392
O -0.674 1.634 5.883
O 0.674 -1.634 8.392
O 1.752 -0.233 5.883
O 1.078 1.401 8.392

***

6
Lattice="4.533 -4.538 0.000 4.533 4.538 0.000 0.000 0.000 4.051" Properties=species:S:1:pos:R:3 comment="Hf4SnTe, optimized geometry, DFT PBE" dft_energy_ev_per_atom=-7.2033 m_tot_mub_per_fu=0.00 pbc="T T T"
Hf 4.533 2.690 0.000
Hf 2.685 0.000 2.026
Hf 6.380 0.000 2.026
Hf 4.533 -2.690 0.000
Sn 0.000 0.000 2.026
Te 4.533 0.000 0.000

***

8
Lattice="-3.146 3.146 6.083 3.146 -3.146 6.083 3.146 3.146 -6.083" Properties=species:S:1:pos:R:3 comment="CdCuSiAgTe4, optimized geometry, DFT PBE" dft_energy_ev_per_atom=-3.3593 pbc="T T T"
Cd 0.000 0.000 0.000
Cu 3.146 0.000 3.042
Si 0.000 0.000 6.083
Ag 0.000 3.146 3.042
Te 1.627 1.794 -1.568
Te 4.497 1.627 1.568
Te 1.519 1.352 4.515
Te -1.352 1.519 7.651

***

20
Lattice="-4.118 4.118 4.118 4.118 -4.118 4.118 4.118 4.118 -4.118" Properties=species:S:1:pos:R:3 comment="SrCd3Pb4O12, optimized geometry, DFT PBE" dft_energy_ev_per_atom=-5.0343 pbc="T T T"
Sr 0.000 0.000 0.000
Cd 4.118 0.000 0.000
Cd 0.000 4.118 0.000
Cd 0.000 0.000 4.118
Pb 2.059 2.059 -2.059
Pb 2.059 -2.059 2.059
Pb -2.059 2.059 2.059
Pb 2.059 2.059 2.059
O 4.118 -1.664 2.626
O 2.454 1.492 0.000
O 5.781 1.492 0.000
O 2.626 4.118 -1.664
O 1.492 0.000 2.454
O 0.000 2.454 1.492
O 4.118 1.664 2.626
O 2.626 4.118 1.664
O 1.492 0.000 5.781
O -1.664 2.626 4.118
O 1.664 2.626 4.118
O 0.000 5.781 1.492

***

8
Lattice="4.084 0.000 0.000 0.000 6.751 0.000 0.000 0.000 5.708" Properties=species:S:1:pos:R:3 comment="PrSiPt2, optimized geometry, DFT PBE" dft_energy_ev_per_atom=-6.4364 m_tot_mub_per_fu=0.01 pbc="T T T"
Pr 0.000 0.566 0.000
Pr 2.042 6.185 2.854
Si 0.000 4.057 4.332
Si 2.042 2.694 1.479
Pt 0.000 1.832 2.706
Pt 0.000 4.377 1.650
Pt 2.042 2.374 4.504
Pt 2.042 4.919 5.559

***

4
Lattice="3.536 0.000 0.000 -1.768 3.062 0.000 0.000 0.000 5.846" Properties=species:S:1:pos:R:3 comment="Ge2BPd, optimized geometry, DFT PBE" dft_energy_ev_per_atom=-5.1539 pbc="T T T"
Ge 0.000 0.000 0.000
Ge 0.000 2.042 3.420
B 0.000 0.000 3.727
Pd 1.768 1.021 1.398

***

8
Lattice="3.562 0.000 0.000 -1.781 3.084 0.000 0.000 0.000 14.869" Properties=species:S:1:pos:R:3 comment="HoErGeC, optimized geometry, DFT PBE" dft_energy_ev_per_atom=-6.2436 m_tot_mub_per_fu=0.00 pbc="T T T"
Ho 0.000 0.000 2.378
Ho 0.000 0.000 12.492
Er 0.000 2.056 5.064
Er 0.000 2.056 9.806
Ge 0.000 0.000 7.435
Ge 0.000 2.056 0.000
C 1.781 1.028 3.727
C 1.781 1.028 11.142

***

3
Lattice="0.000 3.155 3.155 3.155 0.000 3.155 3.155 3.155 0.000" Properties=species:S:1:pos:R:3 comment="PuGaMo, optimized geometry, DFT PBE" polymorph_energy_ev_per_atom=0.6276 dft_energy_ev_per_atom=-8.4194 m_tot_mub_per_fu=3.60 pbc="T T T"
Pu 0.000 0.000 0.000
Ga 4.733 4.733 4.733
Mo 1.578 1.578 1.578

***

4
Lattice="0.000 3.329 3.329 3.329 0.000 3.329 3.329 3.329 0.000" Properties=species:S:1:pos:R:3 comment="InHgW2, optimized geometry, DFT PBE" dft_energy_ev_per_atom=-6.3346 m_tot_mub_per_fu=0.00 pbc="T T T"
In 0.000 0.000 0.000
Hg 1.664 1.664 1.664
W 3.329 3.329 3.329
W 4.993 4.993 4.993

***

12
Lattice="7.764 0.000 0.000 0.000 4.197 0.000 -1.869 0.000 9.784" Properties=species:S:1:pos:R:3 comment="NaLaHgS3, optimized geometry, DFT PBE" polymorph_energy_ev_per_atom=0.0497 dft_energy_ev_per_atom=-4.3284 m_tot_mub_per_fu=0.00 pbc="T T T"
Na 1.466 1.049 2.353
Na 4.429 3.148 7.431
La 0.412 3.148 6.152
La 5.483 1.049 3.632
Hg 1.442 1.049 8.735
Hg 4.452 3.148 1.049
S -0.326 3.148 3.422
S 0.092 3.148 9.334
S 2.411 1.049 6.395
S 3.484 3.148 3.389
S 5.803 1.049 0.450
S 6.220 1.049 6.363

***

4
Lattice="0.000 3.312 3.312 3.312 0.000 3.312 3.312 3.312 0.000" Properties=species:S:1:pos:R:3 comment="LuZnPdAu, optimized geometry, DFT PBE" ef_ev_per_atom=-0.581 polymorph_energy_ev_per_atom=0.1308 dft_energy_ev_per_atom=-4.1389 m_tot_mub_per_fu=0.00 pbc="T T T"
Lu 0.000 0.000 0.000
Zn 4.969 4.969 4.969
Pd 1.656 1.656 1.656
Au 3.312 3.312 3.312

***

6
Lattice="-1.993 1.993 8.994 1.993 -1.993 8.994 1.993 1.993 -8.994" Properties=species:S:1:pos:R:3 comment="PmAsSe, optimized geometry, DFT PBE" dft_energy_ev_per_atom=-5.7299 m_tot_mub_per_fu=0.00 pbc="T T T"
Pm 0.000 0.000 2.501
Pm 0.000 0.000 15.487
As 1.993 0.000 0.000
As 0.000 1.993 0.000
Se 0.000 0.000 5.612
Se 0.000 0.000 12.376

***

16
Lattice="6.641 0.000 0.000 0.000 6.641 0.000 0.000 0.000 6.641" Properties=species:S:1:pos:R:3 comment="Cu2GePb, optimized geometry, DFT PBE" dft_energy_ev_per_atom=-3.7055 pbc="T T T"
Cu 1.425 1.425 1.425
Cu 1.425 1.425 5.217
Cu 1.425 5.217 1.425
Cu 1.425 5.217 5.217
Cu 5.217 1.425 1.425
Cu 5.217 1.425 5.217
Cu 5.217 5.217 1.425
Cu 5.217 5.217 5.217
Ge 0.000 0.000 0.000
Ge 0.000 0.000 3.321
Ge 0.000 3.321 0.000
Ge 3.321 0.000 0.000
Pb 0.000 3.321 3.321
Pb 3.321 0.000 3.321
Pb 3.321 3.321 0.000
Pb 3.321 3.321 3.321

***

6
Lattice="5.876 0.000 0.000 -0.006 5.925 0.000 -2.827 -2.951 5.223" Properties=species:S:1:pos:R:3 comment="CoCuBr3Cl, optimized geometry, DFT PBE" dft_energy_ev_per_atom=-3.3270 m_tot_mub_per_fu=4.00 pbc="T T T"
Co 0.000 0.000 0.000
Cu -0.005 2.968 2.673
Br 1.312 4.486 1.314
Br 1.574 1.642 3.955
Br 4.562 1.427 1.326
Cl -1.464 -1.753 3.954

***

32
Lattice="6.959 0.000 0.000 0.000 2.659 0.000 -0.006 0.000 33.342" Properties=species:S:1:pos:R:3 comment="Cu15Te, optimized geometry, DFT PBE" polymorph_energy_ev_per_atom=0.0749 dft_energy_ev_per_atom=-3.5804 pbc="T T T"
Cu 0.844 0.665 8.376
Cu 0.870 0.665 3.201
Cu 0.864 0.665 26.332
Cu 0.863 0.665 28.868
Cu 0.863 0.665 31.422
Cu 0.874 0.665 0.646
Cu 0.884 0.665 5.769
Cu 2.582 1.994 24.969
Cu 2.608 1.994 1.911
Cu 2.608 1.994 4.472
Cu 2.608 1.994 7.057
Cu 2.610 1.994 9.550
Cu 2.604 1.994 30.141
Cu 2.607 1.994 32.704
Cu 2.620 1.994 27.572
Cu 4.334 0.665 5.770
Cu 4.347 0.665 0.638
Cu 4.349 0.665 3.200
Cu 4.344 0.665 23.792
Cu 4.346 0.665 26.285
Cu 4.346 0.665 28.870
Cu 4.346 0.665 31.431
Cu 4.372 0.665 8.373
Cu 6.069 1.994 27.572
Cu 6.080 1.994 32.696
Cu 6.091 1.994 1.919
Cu 6.090 1.994 4.474
Cu 6.089 1.994 7.010
Cu 6.084 1.994 30.141
Cu 6.109 1.994 24.965
Te 0.870 0.665 23.207
Te 6.084 1.994 10.134

***

8
Lattice="4.690 0.000 0.000 -2.345 4.061 0.000 0.000 0.000 8.894" Properties=species:S:1:pos:R:3 comment="TbYPd4Pb2, optimized geometry, DFT PBE" dft_energy_ev_per_atom=-5.5960 m_tot_mub_per_fu=0.01 pbc="T T T"
Tb 0.000 0.000 0.000
Y 2.345 1.354 4.447
Pd 0.000 0.000 3.013
Pd 0.000 0.000 5.881
Pd 2.345 1.354 1.429
Pd 2.345 1.354 7.465
Pb 0.000 2.708 2.232
Pb 0.000 2.708 6.662